*w*
Below is RbTc3H after structural relaxation, with properties calculated at the PBE-GGA level.

Results
* calculated volume: 15.76 Å³ per atom
* spin magnetization: 5.81 μB/f.u.
* crystal system: cubic

Lattice parameters (Å, degrees): 4.287 4.287 4.287 90.00 90.00 90.00
Positions (direct):
Rb 0.000 0.000 0.000
Tc 0.000 0.500 0.500
Tc 0.500 0.000 0.500
Tc 0.500 0.500 0.000
H 0.500 0.500 0.500

*x*
Below is RbTc3H after structural relaxation, with properties calculated at the PBE-GGA level.

Results
* calculated volume: 21.16 Å³ per atom
* spin magnetization: 4.22 μB/f.u.
* crystal system: cubic

Lattice parameters (Å, degrees): 4.729 4.729 4.729 90.00 90.00 90.00
Positions (direct):
Rb 0.000 0.000 0.000
Tc 0.000 0.000 0.500
Tc 0.000 0.500 0.000
Tc 0.500 0.000 0.000
H 0.500 0.500 0.500

In terms of stability, *w* leads; the second structure lies 2318 meV per atom higher.

*w*
Below is Rb2Te2H after structural relaxation, with properties calculated at the PBE-GGA level.

Results
* calculated volume: 33.02 Å³ per atom
* spin magnetization: 0.00 μB/f.u.
* crystal system: orthorhombic

Lattice parameters (Å, degrees): 6.628 6.628 3.798 90.00 90.00 98.32
Positions (direct):
Rb 0.237 0.763 0.000
Rb 0.763 0.237 0.000
Te 0.268 0.268 0.500
Te 0.732 0.732 0.500
H 0.500 0.500 0.500

*x*
Below is Rb2Te2H after structural relaxation, with properties calculated at the PBE-GGA level.

Results
* calculated volume: 38.79 Å³ per atom
* spin magnetization: 0.00 μB/f.u.
* crystal system: tetragonal

Lattice parameters (Å, degrees): 6.316 6.316 6.316 109.43 109.43 109.56
Positions (direct):
Rb 0.250 0.750 0.500
Rb 0.750 0.250 0.500
Te 0.229 0.229 0.000
Te 0.771 0.771 0.000
H 0.500 0.500 0.000

In terms of stability, *w* leads; the second structure lies 93 meV per atom higher.

*w*
Below is RbTeH2 after structural relaxation, with properties calculated at the PBE-GGA level.

Results
* calculated volume: 26.59 Å³ per atom
* spin magnetization: 0.00 μB/f.u.
* crystal system: monoclinic

Lattice parameters (Å, degrees): 5.771 4.133 9.082 90.00 100.91 90.00
Positions (direct):
Rb 0.152 0.250 0.222
Rb 0.848 0.750 0.778
Te 0.381 0.250 0.864
Te 0.619 0.750 0.136
H 0.243 0.658 0.529
H 0.243 0.842 0.529
H 0.757 0.158 0.471
H 0.757 0.342 0.471

*x*
Below is RbTeH2 after structural relaxation, with properties calculated at the PBE-GGA level.

Results
* calculated volume: 23.32 Å³ per atom
* spin magnetization: 0.00 μB/f.u.
* crystal system: tetragonal

Lattice parameters (Å, degrees): 8.112 8.112 8.112 143.64 143.64 52.37
Positions (direct):
Rb 0.000 0.000 0.000
Rb 0.750 0.250 0.500
Te 0.250 0.750 0.500
Te 0.500 0.500 0.000
H 0.373 0.625 0.248
H 0.375 0.623 0.748
H 0.377 0.125 0.752
H 0.875 0.627 0.252

In terms of stability, *w* leads; the second structure lies 385 meV per atom higher.

*w*
Below is Rb2TeH2 after structural relaxation, with properties calculated at the PBE-GGA level.

Results
* calculated volume: 53.38 Å³ per atom
* spin magnetization: 0.00 μB/f.u.
* crystal system: tetragonal

Lattice parameters (Å, degrees): 9.384 9.384 6.063 90.00 90.00 90.00
Positions (direct):
Rb 0.183 0.317 0.000
Rb 0.317 0.817 0.000
Rb 0.683 0.183 0.000
Rb 0.817 0.683 0.000
Te 0.000 0.000 0.000
Te 0.500 0.500 0.000
H 0.028 0.528 0.500
H 0.472 0.028 0.500
H 0.528 0.972 0.500
H 0.972 0.472 0.500

*x*
Below is Rb2TeH2 after structural relaxation, with properties calculated at the PBE-GGA level.

Results
* calculated volume: 25.42 Å³ per atom
* spin magnetization: 0.00 μB/f.u.
* crystal system: tetragonal

Lattice parameters (Å, degrees): 8.512 8.512 3.509 90.00 90.00 90.00
Positions (direct):
Rb 0.157 0.343 0.000
Rb 0.343 0.843 0.000
Rb 0.657 0.157 0.000
Rb 0.843 0.657 0.000
Te 0.000 0.000 0.500
Te 0.500 0.500 0.500
H 0.142 0.642 0.500
H 0.358 0.142 0.500
H 0.642 0.858 0.500
H 0.858 0.358 0.500

In terms of stability, *w* leads; the second structure lies 415 meV per atom higher.